# PBE Ce7Sb2Os2, relaxed
# Mass density, kg/m³: 8803
# Spin magnetization, μB per cell: 11.61
# Uncorrected energy, Ry/atom: -0.5137
# Formation energy without anion corrections, meV per atom: -422
data_Ce7Sb2Os2
_chemical_formula_sum 'Ce14 Sb4 Os4'
_cell_length_a 4.2008
_cell_length_b 14.3987
_cell_length_c 10.0097
_cell_angle_alpha 90.00
_cell_angle_beta 90.00
_cell_angle_gamma 90.00
_space_group_name_H-M_alt 'I m m 2'
_space_group_IT_number 44
_space_group_name_Hall 'I 2 -2'
loop_
_atom_site_label
_atom_site_fract_x
_atom_site_fract_y
_atom_site_fract_z
Ce1 0.0000 0.0000 0.0000
Ce2 0.0000 0.0951 0.5920
Ce3 0.0000 0.3270 0.3436
Ce4 0.0000 0.3759 0.7763
Sb1 0.0000 0.2295 0.0625
Os1 0.0000 0.0000 0.3232
Os2 0.0000 0.5000 0.2786

---

# PBE TiTlPO5, relaxed
# Mass density, kg/m³: 5237
# Spin magnetization, μB per cell: 0.00
# Polymorph energy (0 for the lowest one), eV/atom: 0.000
# Uncorrected energy, Ry/atom: -0.5445
# Formation energy without anion corrections, meV per atom: -2350
data_TiTlPO5
_chemical_formula_sum 'Ti8 Tl8 P8 O40'
_cell_length_a 13.1115
_cell_length_b 6.5705
_cell_length_c 10.6959
_cell_angle_alpha 90.00
_cell_angle_beta 90.00
_cell_angle_gamma 90.00
_space_group_name_H-M_alt 'P n a 21'
_space_group_IT_number 33
_space_group_name_Hall 'P 2c -2n'
loop_
_atom_site_label
_atom_site_fract_x
_atom_site_fract_y
_atom_site_fract_z
Ti1 0.1300 0.0006 0.0000
Ti2 0.2452 0.7353 0.7496
Tl1 0.1023 0.3067 0.5711
Tl2 0.1169 0.7116 0.3255
P1 0.0012 0.1613 0.2564
P2 0.1813 0.4951 0.0079
O1 0.0132 0.9616 0.8804
O2 0.0143 0.0135 0.1456
O3 0.0943 0.7006 0.7351
O4 0.0988 0.2931 0.2741
O5 0.1150 0.3049 0.9813
O6 0.1156 0.6851 0.0374
O7 0.2225 0.9497 0.8830
O8 0.2227 0.0386 0.1367
O9 0.2471 0.9547 0.6221
O10 0.2491 0.0375 0.3927

---

# PBE AlSiPbAu4, relaxed
# Mass density, kg/m³: 12249
# Spin magnetization, μB per cell: 0.00
# Uncorrected energy, Ry/atom: -0.2786
# Formation energy without anion corrections, meV per atom: -78
data_AlSiPbAu4
_chemical_formula_sum 'Al2 Si2 Pb2 Au8'
_cell_length_a 5.7299
_cell_length_b 6.1081
_cell_length_c 8.5848
_cell_angle_alpha 90.00
_cell_angle_beta 108.62
_cell_angle_gamma 90.00
_space_group_name_H-M_alt 'P 1 21/m 1'
_space_group_IT_number 11
_space_group_name_Hall '-P 2yb'
loop_
_atom_site_label
_atom_site_fract_x
_atom_site_fract_y
_atom_site_fract_z
Al1 0.1288 0.2500 0.4844
Si1 0.1619 0.7500 0.2793
Pb1 0.2274 0.2500 0.0984
Au1 0.1859 0.5098 0.7431
Au2 0.3594 0.7500 0.0642
Au3 0.4545 0.7500 0.5563

---

# PBE Mn2HOsW, relaxed
# Mass density, kg/m³: 14619
# Spin magnetization, μB per cell: 2.27
# Polymorph energy (0 for the lowest one), eV/atom: 0.010
# Uncorrected energy, Ry/atom: -0.6692
data_Mn2HOsW
_chemical_formula_sum 'Mn2 H1 Os1 W1'
_cell_length_a 3.7607
_cell_length_b 3.7607
_cell_length_c 3.8947
_cell_angle_alpha 90.00
_cell_angle_beta 90.00
_cell_angle_gamma 90.00
_space_group_name_H-M_alt 'P 4/m m m'
_space_group_IT_number 123
_space_group_name_Hall '-P 4 2'
loop_
_atom_site_label
_atom_site_fract_x
_atom_site_fract_y
_atom_site_fract_z
Mn1 0.0000 0.5000 0.0000
H1 0.0000 0.0000 0.0000
Os1 0.5000 0.5000 0.5000
W1 0.0000 0.0000 0.5000

---

# PBE Sr2ZnInPd6, relaxed
# Mass density, kg/m³: 7492
# Spin magnetization, μB per cell: 0.00
# Uncorrected energy, Ry/atom: -0.3202
# Formation energy, eV/atom: -0.503
data_Sr2ZnInPd6
_chemical_formula_sum 'Sr2 Zn1 In1 Pd6'
_cell_length_a 6.6737
_cell_length_b 6.6863
_cell_length_c 6.7473
_cell_angle_alpha 61.42
_cell_angle_beta 61.55
_cell_angle_gamma 61.68
_space_group_name_H-M_alt 'P -1'
_space_group_IT_number 2
_space_group_name_Hall '-P 1'
loop_
_atom_site_label
_atom_site_fract_x
_atom_site_fract_y
_atom_site_fract_z
Sr1 0.2003 0.1986 0.2009
Zn1 0.0000 0.0000 0.0000
In1 0.5000 0.5000 0.5000
Pd1 0.1586 0.3193 0.6240
Pd2 0.3218 0.6268 0.1584
Pd3 0.3721 0.8397 0.6813

---

# PBE K3Hf5O12, relaxed
# Mass density, kg/m³: 6202
# Spin magnetization, μB per cell: 9.52
# Uncorrected energy, Ry/atom: -0.6278
# Formation energy without anion corrections, meV per atom: -2914
data_K3Hf5O12
_chemical_formula_sum 'K24 Hf40 O96'
_cell_length_a 13.7048
_cell_length_b 13.7048
_cell_length_c 13.7048
_cell_angle_alpha 90.00
_cell_angle_beta 90.00
_cell_angle_gamma 90.00
_space_group_name_H-M_alt 'I a -3 d'
_space_group_IT_number 230
_space_group_name_Hall '-I 4bd 2c 3'
loop_
_atom_site_label
_atom_site_fract_x
_atom_site_fract_y
_atom_site_fract_z
K1 0.0000 0.2500 0.1250
Hf1 0.0000 0.0000 0.0000
Hf2 0.0000 0.2500 0.3750
O1 0.0374 0.0393 0.6435

---

# PBE Ac2Mn2Ge2C, relaxed
# Mass density, kg/m³: 8370
# Spin magnetization, μB per cell: 0.90
# Uncorrected energy, Ry/atom: -0.5012
# Formation energy, eV/atom: -0.389
data_Ac2Mn2Ge2C
_chemical_formula_sum 'Ac4 Mn4 Ge4 C2'
_cell_length_a 11.5288
_cell_length_b 4.1878
_cell_length_c 7.5295
_cell_angle_alpha 90.00
_cell_angle_beta 128.08
_cell_angle_gamma 90.00
_space_group_name_H-M_alt 'C 1 2/m 1'
_space_group_IT_number 12
_space_group_name_Hall '-C 2y'
loop_
_atom_site_label
_atom_site_fract_x
_atom_site_fract_y
_atom_site_fract_z
Ac1 0.0555 0.0000 0.2964
Mn1 0.1843 0.5000 0.0751
Ge1 0.1915 0.5000 0.7595
C1 0.0000 0.5000 0.0000

---

# PBE Ca3Cu2Ag4, relaxed
# Mass density, kg/m³: 5579
# Spin magnetization, μB per cell: 0.00
# Uncorrected energy, Ry/atom: -0.2240
# Formation energy, eV/atom: -0.202
data_Ca3Cu2Ag4
_chemical_formula_sum 'Ca6 Cu4 Ag8'
_cell_length_a 10.8479
_cell_length_b 4.5223
_cell_length_c 9.0051
_cell_angle_alpha 90.00
_cell_angle_beta 113.83
_cell_angle_gamma 90.00
_space_group_name_H-M_alt 'C 1 2/m 1'
_space_group_IT_number 12
_space_group_name_Hall '-C 2y'
loop_
_atom_site_label
_atom_site_fract_x
_atom_site_fract_y
_atom_site_fract_z
Ca1 0.0000 0.0000 0.0000
Ca2 0.1814 0.5000 0.6419
Cu1 0.0881 0.5000 0.2611
Ag1 0.0240 0.0000 0.3580
Ag2 0.2287 0.5000 0.0800